--- P ---
The following is a PBE calculation of CaErAs2 after structural relaxation, from Alexandria.

The structure in CIF format:
```
data_CaErAs2
_symmetry_space_group_name_H-M 'R -3 m'
_symmetry_Int_Tables_number 166
_symmetry_space_group_name_Hall '-R 3 2"'
_cell_length_a 4.1055
_cell_length_b 4.1055
_cell_length_c 21.0001
_cell_angle_alpha 90.00
_cell_angle_beta 90.00
_cell_angle_gamma 120.00
loop_
_atom_site_label
_atom_site_fract_x
_atom_site_fract_y
_atom_site_fract_z
Ca1 0.0000 0.0000 0.0000
Er1 0.0000 0.0000 0.5000
As1 0.0000 0.0000 0.2450
```

Calculated values
As for the size of the total moment: 0.0 μB/cell. For the density of states at the Fermi level, the calculation gives 2.9 states/eV/f.u.


--- Q ---
The following is a PBE calculation of CaErAs2 after structural relaxation, from Alexandria.

The structure in CIF format:
```
data_CaErAs2
_symmetry_space_group_name_H-M 'R 3 m'
_symmetry_Int_Tables_number 160
_symmetry_space_group_name_Hall 'R 3 -2"'
_cell_length_a 4.2670
_cell_length_b 4.2670
_cell_length_c 20.0357
_cell_angle_alpha 90.00
_cell_angle_beta 90.00
_cell_angle_gamma 120.00
loop_
_atom_site_label
_atom_site_fract_x
_atom_site_fract_y
_atom_site_fract_z
Ca1 0.0000 0.0000 0.0000
Er1 0.0000 0.0000 0.8265
As1 0.0000 0.0000 0.4195
As2 0.0000 0.0000 0.5736
```

Calculated values
As for the size of the total moment: 0.0 μB/cell. For the density of states at the Fermi level, the calculation gives 3.6 states/eV/f.u.


Question: of the structures shown, which is the most stable? Reply: P.